No. 1
A plane-wave DFT calculation with PBE was carried out for a relaxed IrPtPb2 crystal.

Properties
Its excess energy over the best structure of this formula in the dataset is 0.4141 eV per atom. The value obtained for the total energy is -5.070 eV/atom. Its density is 11.19 g/cm3.

```
data_IrPtPb2
_symmetry_space_group_name_H-M 'I -4 2 d'
_symmetry_Int_Tables_number 122
_symmetry_space_group_name_Hall 'I -4 2bw'
_cell_length_a 6.1696
_cell_length_b 6.1696
_cell_length_c 12.5060
_cell_angle_alpha 90.00
_cell_angle_beta 90.00
_cell_angle_gamma 90.00
loop_
_atom_site_label
_atom_site_type_symbol
_atom_site_fract_x
_atom_site_fract_y
_atom_site_fract_z
_atom_site_occupancy
Ir1 Ir 0.0000 0.0000 0.0000 1
Pt1 Pt 0.0000 0.0000 0.5000 1
Pb1 Pb 0.2417 0.2500 0.1250 1
```

=====

No. 2
A plane-wave DFT calculation with PBE was carried out for a relaxed IrPt2Pb crystal.

Properties
The value obtained for the total energy is -5.955 eV/atom. Its density is 17.93 g/cm3.

```
data_IrPt2Pb
_symmetry_space_group_name_H-M 'P 1 2/m 1'
_symmetry_Int_Tables_number 10
_cell_length_a 2.8669
_cell_length_b 3.6772
_cell_length_c 6.9384
_cell_angle_alpha 90.00
_cell_angle_beta 91.72
_cell_angle_gamma 90.00
loop_
_symmetry_equiv_pos_as_xyz
'x,y,z'
'-x,-y,-z'
'-x,y,-z'
'x,-y,z'
loop_
_atom_site_label
_atom_site_type_symbol
_atom_site_fract_x
_atom_site_fract_y
_atom_site_fract_z
_atom_site_occupancy
Ir1 Ir 0.0000 0.0000 0.0000 1
Pt1 Pt 0.4841 0.5000 0.7918 1
Pb1 Pb 0.0000 0.0000 0.5000 1
```

=====

| no. | total moment (μB/cell) | ΔE_f (eV/f.u.) |
| --- | --- | --- |
| 1 | 0.00 | 2.0 |
| 2 | 0.00 | 0.8 |